[1]
The following is a DFT calculation (PBE) of crystalline La2SnI at its relaxed geometry.

abc: 4.6639 7.9786 7.9463
angles: 90.00 90.00 90.00
Positions (direct):
La 0.2500 0.4958 0.2235
La 0.7500 0.5042 0.7765
La 0.7500 0.9958 0.7765
La 0.2500 0.0042 0.2235
Sn 0.7500 0.2500 0.0948
Sn 0.2500 0.7500 0.9052
I 0.2500 0.2500 0.5813
I 0.7500 0.7500 0.4187

Calculated values
- Calculated volume: 36.96 Å³/atom
- ΔE_f (raw): -85.9 kJ per mole of atoms

[2]
The following is a DFT calculation (PBE) of crystalline YMnFeB2 at its relaxed geometry.

abc: 3.5555 3.5555 5.4893
angles: 108.90 108.90 90.00
Positions (direct):
Y 0.0000 0.0000 0.0000
Mn 0.2500 0.7500 0.5000
Fe 0.7500 0.2500 0.5000
B 0.6429 0.6429 0.2857
B 0.3571 0.3571 0.7143

Calculated values
- Calculated volume: 12.34 Å³/atom
- Formation energy from the elements: -1.99 eV per formula unit